Entry from the Alexandria database: an optimized crystal structure of Cu2NiPt (GGA-PBEsol).

## Properties
Its energy relative to the elements is -13 meV/atom.

The structure in extended XYZ format:
```
4
Lattice="2.579 0.009 0.000 -0.191 4.421 0.000 -1.194 -2.215 4.307" Properties=species:S:1:pos:R:3 pbc="T T T"
Ni 1.289 0.005 0.000
Cu -0.597 -1.107 2.154
Cu 0.597 1.107 2.154
Pt -0.095 2.210 0.000
```

---

Entry from the Alexandria database: an optimized crystal structure of CuRe2Ni (GGA-PBEsol).

## Properties
Its energy relative to the elements is 217 meV/atom.

The structure in extended XYZ format:
```
4
Lattice="-0.803 -2.068 1.301 0.529 -2.176 -3.133 4.841 -0.950 1.477" Properties=species:S:1:pos:R:3 pbc="T T T"
Cu 2.283 -2.597 -0.178
Ni -0.137 -2.122 -0.916
Re 3.657 -0.718 1.115
Re 1.185 -0.233 0.361
```

---

Entry from the Alexandria database: an optimized crystal structure of Cu2ReNi (GGA-PBEsol).

## Properties
Its energy relative to the elements is 193 meV/atom.

The structure in extended XYZ format:
```
4
Lattice="-1.804 1.743 0.334 -1.697 -3.091 -2.620 -1.091 -1.897 4.009" Properties=species:S:1:pos:R:3 pbc="T T T"
Cu -4.567 -3.208 1.667
Cu -2.121 -2.549 1.849
Ni -1.433 -0.045 2.086
Re -2.511 -0.764 0.014
```

---

Entry from the Alexandria database: an optimized crystal structure of CuRe2Ni (GGA-PBEsol).

## Properties
Its energy relative to the elements is 208 meV/atom.

The structure in extended XYZ format:
```
4
Lattice="-0.634 -2.969 1.988 0.698 -2.083 -2.889 3.710 2.396 1.448" Properties=species:S:1:pos:R:3 pbc="T T T"
Cu 0.349 -1.042 -1.445
Ni -0.317 -1.485 0.994
Re 1.903 -2.592 0.048
Re 1.871 -0.065 0.499
```

---

Entry from the Alexandria database: an optimized crystal structure of CuRe2Ni (GGA-PBEsol).

## Properties
Its energy relative to the elements is 131 meV/atom.

The structure in extended XYZ format:
```
4
Lattice="3.714 0.000 0.000 0.000 3.714 0.000 -1.857 -1.857 3.702" Properties=species:S:1:pos:R:3 pbc="T T T"
Cu 1.857 1.857 0.000
Ni 0.000 1.857 1.851
Re 0.000 0.000 0.000
Re 1.857 0.000 1.851
```

---

Entry from the Alexandria database: an optimized crystal structure of Cu2ReNi (GGA-PBEsol).

## Properties
Its energy relative to the elements is 170 meV/atom.

The structure in extended XYZ format:
```
4
Lattice="2.541 0.000 0.000 0.000 3.656 0.000 0.000 0.000 5.178" Properties=species:S:1:pos:R:3 pbc="T T T"
Cu 0.000 0.000 0.063
Cu 1.270 1.828 1.255
Ni 0.000 0.000 2.649
Re 1.270 1.828 3.800
```

---

Entry from the Alexandria database: an optimized crystal structure of TiCuRe2Ni (GGA-PBEsol).

## Properties
Its energy relative to the elements is 1270 meV/atom.

The structure in extended XYZ format:
```
5
Lattice="4.176 0.000 0.000 0.000 4.379 0.000 0.000 0.000 4.379" Properties=species:S:1:pos:R:3 pbc="T T T"
Re 0.000 0.000 2.189
Re 0.000 2.189 0.000
Ti 2.088 2.189 2.189
Cu 2.088 0.000 0.000
Ni 0.000 0.000 0.000
```

---

Entry from the Alexandria database: an optimized crystal structure of Cu2NiRh (GGA-PBEsol).

## Properties
Its energy relative to the elements is 107 meV/atom.

The structure in extended XYZ format:
```
4
Lattice="3.581 0.000 0.000 0.000 3.581 0.000 -1.791 -1.791 3.658" Properties=species:S:1:pos:R:3 pbc="T T T"
Ni 1.791 1.791 0.000
Rh 0.000 0.000 0.000
Cu 1.791 0.000 1.829
Cu 0.000 1.791 1.829
```